No. 1
{
  "formula": "Pm4SnRh",
  "functional": "PBE",
  "state": "optimized geometry",
  "space_group": "No. 15",
  "rho_g_cm3": 7.6,
  "e_above_lowest_polymorph_mev_per_atom": 12,
  "e_form_kj_per_mol_atoms": -50.9,
  "cell": [[6.1456, -0.2792, -0.0009], [-1.9034, 8.2227, -0.0004], [-2.1222, -3.9723, 7.0385]],
  "species": ["Pm", "Pm", "Pm", "Pm", "Pm", "Pm", "Pm", "Pm", "Sn", "Sn", "Rh", "Rh"],
  "frac_coords": [[0.0452, 0.2101, 0.8619], [0.7772, 0.7022, 0.6350], [0.3164, 0.6514, 0.8617], [0.3576, 0.9328, 0.6351], [0.6424, 0.0672, 0.3649], [0.6836, 0.3486, 0.1383], [0.2228, 0.2978, 0.3650], [0.9548, 0.7899, 0.1381], [0.3741, 0.6242, 0.2482], [0.6259, 0.3758, 0.7518], [0.2497, 0.9996, 0.9992], [0.7503, 0.0004, 0.0008]]
}

No. 2
{
  "formula": "Zn2MoAs",
  "functional": "PBE",
  "state": "optimized geometry",
  "space_group": "No. 123",
  "rho_g_cm3": 7.9,
  "e_form_kj_per_mol_atoms": 13.5,
  "cell": [[3.5460, 0.0000, 0.0000], [0.0000, 3.5446, 0.0000], [0.0000, 0.0000, 5.0293]],
  "species": ["As", "Mo", "Zn", "Zn"],
  "frac_coords": [[0.5000, 0.5000, 0.2500], [0.5000, 0.5000, 0.7500], [0.0000, 0.0000, 0.9919], [0.0000, 0.0000, 0.5081]]
}

No. 3
{
  "formula": "SrTm4PbS8",
  "functional": "PBE",
  "state": "optimized geometry",
  "space_group": "No. 160",
  "rho_g_cm3": 5.3,
  "formation_energy_uncorrected_ev_per_fu": -24.95,
  "cell": [[8.1008, 0.0000, 0.0000], [4.0504, 7.0155, 0.0000], [4.0504, 2.3385, 6.8262]],
  "species": ["Sr", "Tm", "Tm", "Tm", "Tm", "Pb", "S", "S", "S", "S", "S", "S", "S", "S"],
  "frac_coords": [[0.3734, 0.3734, 0.8799], [0.6230, 0.6230, 0.1311], [0.0022, 0.4947, 0.5008], [0.4947, 0.0022, 0.5008], [0.0022, 0.0022, 0.5008], [0.0049, 0.0049, 0.9854], [0.2474, 0.7922, 0.7131], [0.7922, 0.2474, 0.7131], [0.2474, 0.2474, 0.7131], [0.2350, 0.2350, 0.2951], [0.7434, 0.2344, 0.2788], [0.2344, 0.7434, 0.2788], [0.7434, 0.7434, 0.2788], [0.7566, 0.7566, 0.7303]]
}

No. 4
{
  "formula": "SrAc2Dy",
  "functional": "PBE",
  "state": "optimized geometry",
  "space_group": "No. 123",
  "rho_g_cm3": 6.9,
  "e_above_lowest_polymorph_mev_per_atom": 71,
  "e_form_kj_per_mol_atoms": 13.2,
  "cell": [[-2.5353, -1.7132, 4.4050], [-0.8056, -5.0102, -2.4122], [4.8854, -1.8019, 2.1110]],
  "species": ["Sr", "Ac", "Ac", "Dy"],
  "frac_coords": [[0.5000, 0.5000, 0.5000], [0.0000, 0.0000, 0.5000], [0.0000, 0.5000, 0.0000], [0.5000, 0.0000, 0.0000]]
}